Below is TlIn2Pt at its PBEsol-relaxed geometry, with properties calculated at the SCAN level.

Values from the calculation:
Formation energy from the elements   -0.70 eV/f.u.
Calculated volume   22.31 Å³ per atom

Cell: 3.2560 3.2560 8.4189 Å, 90.00 90.00 90.00°
With the nearest neighbours (Å) after each atom.
Fractional positions:
Tl1 0.5000 0.5000 0.5000  4 Tl 3.26, 8 In 3.44
In1 0.0000 0.0000 0.8037  4 Pt 2.83
In2 0.0000 0.0000 0.1963  4 Pt 2.83
Pt1 0.5000 0.5000 0.0000  8 In 2.83

=====

Below is TmInPt at its PBEsol-relaxed geometry, with properties calculated at the SCAN level.

Values from the calculation:
Formation energy from the elements   -3.63 eV/f.u.
Calculated volume   20.49 Å³ per atom

Cell: 3.8150 7.4704 7.4704 Å, 120.00 90.00 90.00°
With the nearest neighbours (Å) after each atom.
Fractional positions:
Pt1 0.0000 0.6667 0.3333  3 In 2.80, 6 Tm 2.96
Pt2 0.0000 0.3333 0.6667  3 In 2.80, 6 Tm 2.96
Tm1 0.5000 0.4063 0.4063  5 Pt 2.96-3.04, 6 In 3.13-3.28
In1 0.0000 0.0000 0.2609  4 Pt 2.73-2.80
In2 0.0000 0.2609 0.0000  4 Pt 2.73-2.80
Tm2 0.5000 0.0000 0.5937  5 Pt 2.96-3.04, 6 In 3.13-3.28
Pt3 0.5000 0.0000 0.0000  6 In 2.73, 3 Tm 3.04
In3 0.0000 0.7391 0.7391  4 Pt 2.73-2.80
Tm3 0.5000 0.5937 0.0000  5 Pt 2.96-3.04, 6 In 3.13-3.28

=====

Below is TmInPt2 at its PBEsol-relaxed geometry, with properties calculated at the SCAN level.

Values from the calculation:
Formation energy from the elements   -4.25 eV/f.u.
Calculated volume   18.34 Å³ per atom

Cell: 4.6989 4.6989 4.6989 Å, 60.00 60.00 60.00°
With the nearest neighbours (Å) after each atom.
Fractional positions:
In1 0.0000 0.0000 0.0000  8 Pt 2.88
Pt1 0.7500 0.7500 0.7500  4 In 2.88, 4 Tm 2.88
Pt2 0.2500 0.2500 0.2500  4 In 2.88, 4 Tm 2.88
Tm1 0.5000 0.5000 0.5000  8 Pt 2.88

=====

Below is InPtW2 at its PBEsol-relaxed geometry, with properties calculated at the SCAN level.

Values from the calculation:
Formation energy from the elements   0.81 eV/f.u.
Calculated volume   16.52 Å³ per atom

Cell: 2.7594 4.3282 5.5955 Å, 90.00 98.69 90.00°
With the nearest neighbours (Å) after each atom.
Fractional positions:
W1 0.9930 0.0000 0.0002  4 W 2.70-2.76, 1 In 2.78, 4 Pt 2.85-2.93
W2 0.7441 0.5000 0.2426  1 Pt 2.69, 4 W 2.70-2.76, 4 In 2.91-2.94
In1 0.3124 0.0000 0.4962  2 Pt 2.62, 2 In 2.76, 3 W 2.78-2.91
Pt1 0.4504 0.5000 0.7610  2 In 2.62, 5 W 2.69-2.93, 2 Pt 2.76

=====

Below is InPtW at its PBEsol-relaxed geometry, with properties calculated at the SCAN level.

Values from the calculation:
Formation energy from the elements   1.02 eV/f.u.
Calculated volume   16.65 Å³ per atom

Cell: 2.7744 4.5594 4.5594 Å, 120.00 90.00 90.00°
With the nearest neighbours (Å) after each atom.
Fractional positions:
W1 0.3331 0.6667 0.3333  2 W 2.77, 6 In 2.97-2.98, 6 Pt 2.97-2.98
In1 0.8345 0.0000 0.0000  3 Pt 2.63, 2 In 2.77
Pt1 0.8324 0.3333 0.6667  3 In 2.63, 2 Pt 2.77

=====

Below is InPtW2 at its PBEsol-relaxed geometry, with properties calculated at the SCAN level.

Values from the calculation:
Formation energy from the elements   0.79 eV/f.u.
Calculated volume   16.35 Å³ per atom

Cell: 2.9482 4.6556 5.0796 Å, 100.94 106.87 90.00°
With the nearest neighbours (Å) after each atom.
Fractional positions:
Pt1 0.0000 0.5000 0.0000  4 In 2.76, 6 W 2.83-2.92, 2 Pt 2.95
W1 0.2553 0.2594 0.5107  6 W 2.70-2.95, 3 Pt 2.83-2.92, 3 In 2.87-2.93
W2 0.7447 0.7406 0.4893  6 W 2.70-2.95, 3 Pt 2.83-2.92, 3 In 2.87-2.93
In1 0.5000 0.0000 0.0000  4 Pt 2.76, 6 W 2.87-2.93, 2 In 2.95

=====

Below is In2PtW at its PBEsol-relaxed geometry, with properties calculated at the SCAN level.

Values from the calculation:
Formation energy from the elements   1.00 eV/f.u.
Calculated volume   17.41 Å³ per atom

Cell: 3.5595 4.4227 4.4227 Å, 90.00 90.00 90.00°
With the nearest neighbours (Å) after each atom.
Fractional positions:
Pt1 0.5000 0.5000 0.5000  8 In 2.84, 4 W 3.13
In1 0.0000 0.0000 0.5000  4 W 2.84, 4 Pt 2.84, 4 In 3.13
In2 0.0000 0.5000 0.0000  4 W 2.84, 4 Pt 2.84, 4 In 3.13
W1 0.5000 0.0000 0.0000  8 In 2.84, 4 Pt 3.13

=====

Below is In2PtW at its PBEsol-relaxed geometry, with properties calculated at the SCAN level.

Values from the calculation:
Formation energy from the elements   0.50 eV/f.u.
Calculated volume   18.53 Å³ per atom

Cell: 2.9049 2.9049 8.7835 Å, 90.00 90.00 90.00°
With the nearest neighbours (Å) after each atom.
Fractional positions:
In1 0.5000 0.5000 0.2801  4 In 2.90, 4 Pt 2.98
Pt1 0.0000 0.0000 0.5260  4 W 2.70, 4 Pt 2.90, 4 In 2.98
W1 0.5000 0.5000 0.7254  4 Pt 2.70, 4 W 2.90, 4 In 2.96
In2 0.0000 0.0000 0.9686  4 In 2.90, 4 W 2.96

=====

Below is InPtW2 at its PBEsol-relaxed geometry, with properties calculated at the SCAN level.

Values from the calculation:
Formation energy from the elements   0.74 eV/f.u.
Calculated volume   16.31 Å³ per atom

Cell: 3.8397 3.8397 4.4249 Å, 90.00 90.00 90.00°
With the nearest neighbours (Å) after each atom.
Fractional positions:
Pt1 0.0000 0.0000 0.5000  4 In 2.72, 8 W 2.93
W1 0.0000 0.5000 0.0000  4 W 2.72, 4 Pt 2.93, 4 In 2.93
W2 0.5000 0.0000 0.0000  4 W 2.72, 4 In 2.93, 4 Pt 2.93
In1 0.5000 0.5000 0.5000  4 Pt 2.72, 8 W 2.93

=====

Below is InPtW2 at its PBEsol-relaxed geometry, with properties calculated at the SCAN level.

Values from the calculation:
Formation energy from the elements   0.42 eV/f.u.
Calculated volume   16.20 Å³ per atom

Cell: 3.8564 3.8564 5.1392 Å, 112.04 112.04 90.00°
With the nearest neighbours (Å) after each atom.
Fractional positions:
W1 0.2500 0.7500 0.5000  4 W 2.73, 4 Pt 2.91, 4 In 2.91
In1 0.0000 0.0000 0.0000  4 Pt 2.73, 8 W 2.91
W2 0.7500 0.2500 0.5000  4 W 2.73, 4 In 2.91, 4 Pt 2.91
Pt1 0.5000 0.5000 0.0000  4 In 2.73, 8 W 2.91

=====

Below is Y2InPt at its PBEsol-relaxed geometry, with properties calculated at the SCAN level.

Values from the calculation:
Formation energy from the elements   -2.19 eV/f.u.
Calculated volume   27.33 Å³ per atom

Cell: 3.8806 3.8806 8.6759 Å, 77.08 77.08 60.00°
With the nearest neighbours (Å) after each atom.
Fractional positions:
Y1 0.9745 0.9745 0.0766  3 Pt 2.75
In1 0.5186 0.5186 0.4442  3 Pt 2.69
Pt1 0.2442 0.2442 0.2674  3 In 2.69, 3 Y 2.75
Y2 0.7627 0.7627 0.7119  3 In 3.17

=====

Below is YInPt3 at its PBEsol-relaxed geometry, with properties calculated at the SCAN level.

Values from the calculation:
Formation energy from the elements   3.87 eV/f.u.
Calculated volume   25.16 Å³ per atom

Cell: 5.0108 5.0108 5.0108 Å, 90.00 90.00 90.00°
With the nearest neighbours (Å) after each atom.
Fractional positions:
Pt1 0.0000 0.0000 0.5000  2 Y 2.51
Pt2 0.0000 0.5000 0.0000  2 Y 2.51
Y1 0.0000 0.0000 0.0000  6 Pt 2.51
Pt3 0.5000 0.0000 0.0000  2 Y 2.51
In1 0.5000 0.5000 0.5000  12 Pt 3.54